(1)
Y8Ge3Te4P | PBE | optimized geometry

Values from the calculation:
**Final energy**: -104.52 eV for the cell shown
**SG**: No. 166
**Raw formation energy**: -1311 meV/atom

Unit cell a=8.4400 b=8.6032 c=8.4403 alpha=119.38 beta=120.00 gamma=90.00
Last column: nearest neighbours and their distance in Å.
Sites, in units of the cell vectors:
Y 0.7403 0.7170 0.9787  1 P 2.87, 2 Ge 2.89, 3 Te 3.15-3.16
Y 0.7616 0.2830 0.0213  1 P 2.87, 2 Ge 2.89, 3 Te 3.15-3.16
Y 0.7616 0.2829 0.5232  1 P 2.87, 2 Ge 2.89, 3 Te 3.15-3.16
Y 0.2384 0.7170 0.9787  1 P 2.87, 2 Ge 2.89, 3 Te 3.15-3.16
Y 0.7403 0.7209 0.4807  3 Ge 2.90, 3 Te 3.14
Y 0.2384 0.7171 0.4768  1 P 2.87, 2 Ge 2.89, 3 Te 3.15-3.16
Y 0.2597 0.2791 0.5193  3 Ge 2.90, 3 Te 3.14
Y 0.2597 0.2830 0.0213  1 P 2.87, 2 Ge 2.89, 3 Te 3.15-3.16
Ge 0.0000 0.5000 0.5000  6 Y 2.89-2.90
Ge 0.5000 0.5000 0.5000  6 Y 2.89-2.90
Ge 0.5000 0.5000 0.0000  6 Y 2.89-2.90
Te 0.5000 0.0000 0.0000  6 Y 3.16
Te 0.5000 0.0000 0.5000  6 Y 3.14-3.15
Te 0.0000 0.0000 0.5000  6 Y 3.14-3.15
Te 0.0000 0.0000 0.0000  6 Y 3.14-3.15
P 0.0000 0.5000 0.0000  6 Y 2.87



(2)
Y6Ge2Te3P | PBE | optimized geometry

Values from the calculation:
**Final energy**: -78.94 eV for the cell shown
**SG**: No. 12
**Raw formation energy**: -1341 meV/atom

Unit cell a=4.2126 b=8.5905 c=9.5588 alpha=104.43 beta=102.73 gamma=90.00
Last column: nearest neighbours and their distance in Å.
Sites, in units of the cell vectors:
Te 0.8337 0.1663 0.6674  6 Y 3.13-3.17
Te 0.1663 0.8337 0.3326  6 Y 3.13-3.17
Te 0.5000 0.5000 0.0000  6 Y 3.13-3.17
Y 0.6729 0.5657 0.3458  3 Ge 2.90-2.91, 3 Te 3.13-3.15
Y 0.6582 0.0987 0.3165  1 P 2.85, 2 Ge 2.88, 3 Te 3.13-3.17
Y 0.3271 0.4343 0.6542  3 Ge 2.90-2.91, 3 Te 3.13-3.15
Y 0.9929 0.7712 0.9858  2 P 2.86, 1 Ge 2.87, 3 Te 3.14-3.17
Y 0.0071 0.2288 0.0142  2 P 2.86, 1 Ge 2.87, 3 Te 3.14-3.17
Y 0.3418 0.9013 0.6835  1 P 2.85, 2 Ge 2.88, 3 Te 3.13-3.17
P 0.5000 0.0000 0.0000  6 Y 2.85-2.86
Ge 0.8341 0.6690 0.6682  6 Y 2.87-2.91
Ge 0.1659 0.3310 0.3318  6 Y 2.87-2.91



(3)
Th6GeP5 | PBE | optimized geometry

Values from the calculation:
**Final energy**: -93.17 eV for the cell shown
**DFT formation energy**: -1.41 eV/atom
**SG**: No. 12

Unit cell a=7.2228 b=7.2228 c=7.2278 alpha=99.59 beta=99.59 gamma=120.03
Last column: nearest neighbours and their distance in Å.
Sites, in units of the cell vectors:
Th 0.0844 0.4222 0.2530  5 P 2.92-2.95, 1 Ge 2.99
Th 0.5778 0.9156 0.7470  5 P 2.92-2.95, 1 Ge 2.99
Th 0.9156 0.5778 0.7470  5 P 2.92-2.95, 1 Ge 2.99
Th 0.7464 0.7464 0.2527  5 P 2.91-2.95, 1 Ge 2.99
Th 0.4222 0.0844 0.2530  5 P 2.92-2.95, 1 Ge 2.99
Th 0.2536 0.2536 0.7473  5 P 2.91-2.95, 1 Ge 2.99
P 0.3331 0.6669 0.0000  6 Th 2.95
P 0.6669 0.3331 0.0000  6 Th 2.95
P 0.1652 0.8348 0.5000  6 Th 2.92-2.95
P 0.8348 0.1652 0.5000  6 Th 2.92-2.95
P 0.5000 0.5000 0.5000  6 Th 2.91-2.95
Ge 0.0000 0.0000 0.0000  6 Th 2.99



(4)
Th2GeP | PBE | optimized geometry

Values from the calculation:
**Final energy**: -28.72 eV for the cell shown
**DFT formation energy**: -0.96 eV/atom
**Distance to the lowest polymorph of the same formula**: 0.754 eV/f.u.
**SG**: No. 160

Unit cell a=4.1333 b=4.1333 c=7.7031 alpha=74.44 beta=74.44 gamma=60.00
Last column: nearest neighbours and their distance in Å.
Sites, in units of the cell vectors:
Ge 0.6677 0.6677 0.9969  6 Th 2.97-3.00
Th 0.2517 0.2517 0.2449  3 Ge 3.00, 3 P 3.05
Th 0.0818 0.0818 0.7547  3 Ge 2.97, 3 P 3.01
P 0.4988 0.4988 0.5035  6 Th 3.01-3.05



(5)
Th4GeP2 | PBE | optimized geometry

Values from the calculation:
**Final energy**: -104.53 eV for the cell shown
**DFT formation energy**: -1.02 eV/atom
**SG**: No. 63

Unit cell a=4.1178 b=6.9740 c=13.9952 alpha=90.00 beta=90.00 gamma=107.17
Last column: nearest neighbours and their distance in Å.
Sites, in units of the cell vectors:
Th 0.9390 0.8780 0.7500  2 P 2.83, 2 Ge 3.02
Th 0.7771 0.5541 0.3785  3 P 2.80-2.88
Th 0.7771 0.5541 0.1215  3 P 2.80-2.88
Th 0.0610 0.1220 0.2500  2 P 2.83, 2 Ge 3.02
Th 0.5000 0.0000 0.5000  4 P 2.90
Th 0.2229 0.4459 0.6215  3 P 2.80-2.88
Th 0.2229 0.4459 0.8785  3 P 2.80-2.88
Th 0.5000 0.0000 0.0000  4 P 2.90
P 0.1391 0.2781 0.4379  6 Th 2.80-2.90
P 0.1391 0.2781 0.0621  6 Th 2.80-2.90
P 0.8609 0.7219 0.9379  6 Th 2.80-2.90
P 0.8609 0.7219 0.5621  6 Th 2.80-2.90
Ge 0.3954 0.7908 0.2500  6 Th 3.02-3.16
Ge 0.6046 0.2092 0.7500  6 Th 3.02-3.16



(6)
Th2GeP | PBE | optimized geometry

Values from the calculation:
**Final energy**: -29.47 eV for the cell shown
**DFT formation energy**: -1.15 eV/atom
**Distance to the lowest polymorph of the same formula**: 0.006 eV/f.u.
**SG**: No. 166

Unit cell a=4.2353 b=4.2371 c=7.2918 alpha=106.86 beta=90.00 gamma=119.99
Last column: nearest neighbours and their distance in Å.
Sites, in units of the cell vectors:
P 0.5000 0.0000 0.0000  6 Th 2.96
Th 0.7522 0.5044 0.7564  3 P 2.96, 3 Ge 3.01
Th 0.2478 0.4956 0.2436  3 P 2.96, 3 Ge 3.01
Ge 0.0000 0.0000 0.5000  6 Th 3.01



(7)
Th4GeP3 | PBE | optimized geometry

Values from the calculation:
**Final energy**: -61.38 eV for the cell shown
**DFT formation energy**: -1.36 eV/atom
**SG**: No. 221

Unit cell a=5.9154 b=5.9154 c=5.9154 alpha=90.00 beta=90.00 gamma=90.00
Last column: nearest neighbours and their distance in Å.
Sites, in units of the cell vectors:
P 0.5000 0.0000 0.5000  6 Th 2.96
P 0.5000 0.5000 0.0000  6 Th 2.96
P 0.0000 0.5000 0.5000  6 Th 2.96
Th 0.5000 0.0000 0.0000  2 Ge 2.96, 4 P 2.96
Th 0.5000 0.5000 0.5000  6 P 2.96
Th 0.0000 0.5000 0.0000  4 P 2.96, 2 Ge 2.96
Th 0.0000 0.0000 0.5000  4 P 2.96, 2 Ge 2.96
Ge 0.0000 0.0000 0.0000  6 Th 2.96



(8)
Th8GeP6 | PBE | optimized geometry

Values from the calculation:
**Final energy**: -111.99 eV for the cell shown
**DFT formation energy**: -1.04 eV/atom
**SG**: No. 147

Unit cell a=4.1691 b=10.5956 c=10.5956 alpha=120.00 beta=90.00 gamma=90.00
Last column: nearest neighbours and their distance in Å.
Sites, in units of the cell vectors:
Th 0.2530 0.6667 0.3333  6 P 2.92
Th 0.2561 0.6643 0.9613  4 P 2.81-2.94
Th 0.2561 0.2971 0.3357  4 P 2.81-2.94
Th 0.7470 0.3333 0.6667  6 P 2.92
Th 0.2561 0.0387 0.7029  4 P 2.81-2.94
Th 0.7439 0.7029 0.6643  4 P 2.81-2.94
Th 0.7439 0.9613 0.2971  4 P 2.81-2.94
Th 0.7439 0.3357 0.0387  4 P 2.81-2.94
P 0.7529 0.4845 0.3524  6 Th 2.81-2.94
P 0.2471 0.3524 0.8679  6 Th 2.81-2.94
P 0.7529 0.6476 0.1321  6 Th 2.81-2.94
P 0.2471 0.5155 0.6476  6 Th 2.81-2.94
P 0.2471 0.1321 0.4845  6 Th 2.81-2.94
P 0.7529 0.8679 0.5155  6 Th 2.81-2.94
Ge 0.5000 0.0000 0.0000  6 Th 3.52



(9)
Th4Ge3P | PBE | optimized geometry

Values from the calculation:
**Final energy**: -56.64 eV for the cell shown
**DFT formation energy**: -0.96 eV/atom
**SG**: No. 221

Unit cell a=6.0314 b=6.0314 c=6.0314 alpha=90.00 beta=90.00 gamma=90.00
Last column: nearest neighbours and their distance in Å.
Sites, in units of the cell vectors:
Th 0.5000 0.0000 0.0000  4 Ge 3.02, 2 P 3.02
Th 0.0000 0.5000 0.0000  4 Ge 3.02, 2 P 3.02
Th 0.5000 0.5000 0.5000  6 Ge 3.02
Th 0.0000 0.0000 0.5000  4 Ge 3.02, 2 P 3.02
Ge 0.5000 0.5000 0.0000  6 Th 3.02
Ge 0.0000 0.5000 0.5000  6 Th 3.02
Ge 0.5000 0.0000 0.5000  6 Th 3.02
P 0.0000 0.0000 0.0000  6 Th 3.02



(10)
Th2GeP | PBE | optimized geometry

Values from the calculation:
**Final energy**: -117.88 eV for the cell shown
**DFT formation energy**: -1.15 eV/atom
**Distance to the lowest polymorph of the same formula**: 0.000 eV/f.u.
**SG**: No. 15

Unit cell a=7.3111 b=7.3275 c=9.4567 alpha=104.96 beta=104.89 gamma=109.54
Last column: nearest neighbours and their distance in Å.
Sites, in units of the cell vectors:
Th 0.8212 0.5656 0.6251  3 P 2.96, 3 Ge 3.02
Th 0.6961 0.9405 0.3749  3 P 2.96, 3 Ge 3.02
Th 0.9402 0.1850 0.8750  3 P 2.96-2.98, 3 Ge 3.00-3.02
Th 0.4348 0.6901 0.8750  3 P 2.96-2.98, 3 Ge 3.00-3.02
Th 0.5652 0.3099 0.1250  3 P 2.96-2.98, 3 Ge 3.00-3.02
Th 0.3039 0.0595 0.6251  3 P 2.96, 3 Ge 3.02
Th 0.0598 0.8150 0.1250  3 P 2.96-2.98, 3 Ge 3.00-3.02
Th 0.1788 0.4344 0.3749  3 P 2.96, 3 Ge 3.02
Ge 0.6869 0.4369 0.8738  6 Th 3.00-3.02
Ge 0.4381 0.1881 0.3762  6 Th 3.00-3.02
Ge 0.5619 0.8119 0.6238  6 Th 3.00-3.02
Ge 0.3131 0.5631 0.1262  6 Th 3.00-3.02
P 0.0632 0.3132 0.6264  6 Th 2.96-2.98
P 0.8117 0.0617 0.1235  6 Th 2.96-2.98
P 0.1883 0.9383 0.8765  6 Th 2.96-2.98
P 0.9368 0.6868 0.3736  6 Th 2.96-2.98



(11)
ThGeP | PBE | optimized geometry

Values from the calculation:
**Final energy**: -75.70 eV for the cell shown
**DFT formation energy**: -0.49 eV/atom
**SG**: No. 84

Unit cell a=3.7233 b=8.7767 c=8.7767 alpha=90.00 beta=90.00 gamma=90.00
Last column: nearest neighbours and their distance in Å.
Sites, in units of the cell vectors:
Ge 0.5000 0.9004 0.1755  2 P 2.50
Ge 0.0000 0.8245 0.9004  2 P 2.50
Ge 0.0000 0.1755 0.0996  2 P 2.50
Ge 0.5000 0.0996 0.8245  2 P 2.50
Th 0.5000 0.1858 0.3847  5 P 2.98-3.11, 3 Ge 3.11-3.12
Th 0.0000 0.3847 0.8142  5 P 2.98-3.11, 3 Ge 3.11-3.12
Th 0.0000 0.6153 0.1858  5 P 2.98-3.11, 3 Ge 3.11-3.12
Th 0.5000 0.8142 0.6153  5 P 2.98-3.11, 3 Ge 3.11-3.12
P 0.5000 0.3655 0.0973  2 Ge 2.50
P 0.0000 0.9027 0.3655  2 Ge 2.50
P 0.0000 0.0973 0.6345  2 Ge 2.50
P 0.5000 0.6345 0.9027  2 Ge 2.50



| no. | magnetization (μB per atom) |
| --- | --- |
| 1 | 0.00 |
| 2 | 0.00 |
| 3 | 0.00 |
| 4 | 0.00 |
| 5 | 0.01 |
| 6 | 0.00 |
| 7 | 0.00 |
| 8 | 0.00 |
| 9 | 0.00 |
| 10 | 0.00 |
| 11 | 0.00 |